Here is Cu2Ge2Sb after structural relaxation from Alexandria via LeMat-Bulk. Energies are from PBE-GGA.

Computed properties:
M_tot: 0.000 μB per atom
Formation energy (no corrections): 1.07 eV/f.u.
V: 175.4 Å³ per cell
Calculated total energy: -4.10 eV/atom

The structure in POSCAR format:
```
Cu2Ge2Sb
1.0
-3.592 6.299 1.998
-2.963 -3.568 5.922
2.434 0.841 1.724
Sb Ge Cu
2 4 4
direct
0.000 0.000 0.000
0.500 0.500 0.000
0.159 0.659 0.500
0.659 0.841 0.500
0.841 0.341 0.500
0.341 0.159 0.500
0.371 0.871 0.000
0.871 0.629 0.000
0.629 0.129 0.000
0.129 0.371 0.000
```

---

Here is Cu2GeSb after structural relaxation from Alexandria via LeMat-Bulk. Energies are from PBE-GGA.

Computed properties:
M_tot: 0.000 μB per atom
Formation energy (no corrections): 1.06 eV/f.u.
V: 70.1 Å³ per cell
Calculated total energy: -3.97 eV/atom

The structure in POSCAR format:
```
Cu2GeSb
1.0
0.000 3.273 3.273
3.273 0.000 3.273
3.273 3.273 0.000
Sb Ge Cu
1 1 2
direct
0.500 0.500 0.500
0.000 0.000 0.000
0.250 0.250 0.250
0.750 0.750 0.750
```

---

Here is CuGe2Sb2 after structural relaxation from Alexandria via LeMat-Bulk. Energies are from PBE-GGA.

Computed properties:
M_tot: 0.000 μB per atom
Formation energy (no corrections): 1.63 eV/f.u.
V: 111.6 Å³ per cell
Calculated total energy: -3.99 eV/atom

The structure in POSCAR format:
```
CuGe2Sb2
1.0
3.618 0.000 0.000
0.000 3.618 0.000
1.809 1.809 8.527
Sb Ge Cu
2 2 1
direct
0.410 0.410 0.180
0.590 0.590 0.820
0.750 0.250 0.500
0.250 0.750 0.500
0.000 0.000 0.000
```

---

Here is Cu2Ge2Sb after structural relaxation from Alexandria via LeMat-Bulk. Energies are from PBE-GGA.

Computed properties:
M_tot: 0.000 μB per atom
Formation energy (no corrections): 0.89 eV/f.u.
V: 89.2 Å³ per cell
Calculated total energy: -4.13 eV/atom

The structure in POSCAR format:
```
Cu2Ge2Sb
1.0
3.915 0.000 0.000
0.000 3.915 0.000
1.957 1.957 5.817
Sb Ge Cu
1 2 2
direct
0.000 0.000 0.000
0.750 0.250 0.500
0.250 0.750 0.500
0.395 0.395 0.210
0.605 0.605 0.790
```

---

Here is Cu2GeSb after structural relaxation from Alexandria via LeMat-Bulk. Energies are from PBE-GGA.

Computed properties:
M_tot: 0.000 μB per atom
Formation energy (no corrections): 0.61 eV/f.u.
V: 151.3 Å³ per cell
Calculated total energy: -4.08 eV/atom

The structure in POSCAR format:
```
Cu2GeSb
1.0
-2.583 0.091 -3.502
1.167 -4.081 -0.967
-6.769 -4.770 2.163
Sb Ge Cu
2 2 4
direct
0.000 0.000 0.000
0.750 0.250 0.500
0.500 0.500 0.000
0.250 0.750 0.500
0.554 0.125 0.250
0.196 0.625 0.250
0.375 0.446 0.750
0.875 0.804 0.750
```

---

Here is CuGe2Sb2 after structural relaxation from Alexandria via LeMat-Bulk. Energies are from PBE-GGA.

Computed properties:
M_tot: 0.000 μB per atom
Formation energy (no corrections): 0.91 eV/f.u.
V: 223.8 Å³ per cell
Calculated total energy: -4.13 eV/atom

The structure in POSCAR format:
```
CuGe2Sb2
1.0
6.303 0.000 0.000
0.000 6.303 0.000
0.000 0.000 5.632
Sb Ge Cu
4 4 2
direct
0.283 0.783 0.500
0.783 0.717 0.500
0.717 0.217 0.500
0.217 0.283 0.500
0.355 0.855 0.000
0.855 0.645 0.000
0.645 0.145 0.000
0.145 0.355 0.000
0.000 0.000 0.000
0.500 0.500 0.000
```

---

Here is Cu2GeSb2 after structural relaxation from Alexandria via LeMat-Bulk. Energies are from PBE-GGA.

Computed properties:
M_tot: 0.000 μB per atom
Formation energy (no corrections): 1.07 eV/f.u.
V: 194.0 Å³ per cell
Calculated total energy: -4.00 eV/atom

The structure in POSCAR format:
```
Cu2GeSb2
1.0
7.059 0.000 0.000
0.000 7.059 0.000
0.000 0.000 3.894
Sb Ge Cu
4 2 4
direct
0.175 0.675 0.500
0.675 0.825 0.500
0.825 0.325 0.500
0.325 0.175 0.500
0.000 0.000 0.000
0.500 0.500 0.000
0.375 0.875 0.000
0.875 0.625 0.000
0.625 0.125 0.000
0.125 0.375 0.000
```

---

Here is CuGeSb3 after structural relaxation from Alexandria via LeMat-Bulk. Energies are from PBE-GGA.

Computed properties:
M_tot: 0.000 μB per atom
Formation energy (no corrections): 2.77 eV/f.u.
V: 131.9 Å³ per cell
Calculated total energy: -3.66 eV/atom

The structure in POSCAR format:
```
CuGeSb3
1.0
-1.404 3.193 -3.707
-1.682 -3.937 -2.753
-4.594 0.465 2.141
Sb Ge Cu
3 1 1
direct
0.000 0.500 0.000
0.000 0.000 0.500
0.500 0.000 0.000
0.500 0.500 0.500
0.000 0.000 0.000
```

---

Here is CuGeSb3 after structural relaxation from Alexandria via LeMat-Bulk. Energies are from PBE-GGA.

Computed properties:
M_tot: 0.000 μB per atom
Formation energy (no corrections): 4.85 eV/f.u.
V: 150.9 Å³ per cell
Calculated total energy: -3.25 eV/atom

The structure in POSCAR format:
```
CuGeSb3
1.0
5.324 0.000 0.000
0.000 5.324 0.000
0.000 0.000 5.324
Sb Ge Cu
3 1 1
direct
0.000 0.500 0.000
0.000 0.000 0.500
0.500 0.000 0.000
0.000 0.000 0.000
0.500 0.500 0.500
```

---

Here is CuGeSb after structural relaxation from Alexandria via LeMat-Bulk. Energies are from PBE-GGA.

Computed properties:
M_tot: 0.000 μB per atom
Formation energy (no corrections): 0.52 eV/f.u.
V: 63.8 Å³ per cell
Calculated total energy: -4.10 eV/atom

The structure in POSCAR format:
```
CuGeSb
1.0
4.421 0.000 0.000
0.000 4.083 0.000
0.000 -2.041 3.536
Sb Ge Cu
1 1 1
direct
0.752 0.333 0.667
0.221 0.667 0.333
0.028 0.000 0.000
```

---

Here is Cu6GeSb after structural relaxation from Alexandria via LeMat-Bulk. Energies are from PBE-GGA.

Computed properties:
M_tot: 0.000 μB per atom
Formation energy (no corrections): 1.11 eV/f.u.
V: 120.2 Å³ per cell
Calculated total energy: -4.03 eV/atom

The structure in POSCAR format:
```
Cu6GeSb
1.0
1.162 3.108 2.704
-4.110 -1.161 -0.286
1.074 -5.146 5.453
Cu Ge Sb
6 1 1
direct
0.667 0.333 0.000
0.667 0.333 0.500
0.000 0.000 0.322
0.333 0.667 0.159
0.333 0.667 0.841
0.000 0.000 0.678
0.000 0.000 0.000
0.333 0.667 0.500
```

---

Here is Sr2Cu4GeSb3 after structural relaxation from Alexandria via LeMat-Bulk. Energies are from PBE-GGA.

Computed properties:
M_tot: 0.000 μB per atom
Formation energy (no corrections): -4.35 eV/f.u.
V: 218.6 Å³ per cell
Calculated total energy: -4.11 eV/atom

The structure in POSCAR format:
```
Sr2Cu4GeSb3
1.0
4.482 0.000 0.000
0.000 4.482 0.000
0.000 0.000 10.878
Sr Cu Ge Sb
2 4 1 3
direct
0.500 0.000 0.246
0.000 0.500 0.754
0.500 0.500 0.000
0.000 0.000 0.000
0.500 0.000 0.629
0.000 0.500 0.371
0.500 0.500 0.500
0.000 0.000 0.500
0.500 0.000 0.868
0.000 0.500 0.132
```